No. 1
A geometry-optimized Ca2ScSe structure. Source: Alexandria, functional GGA-PBE.

Cell: 3.885 6.992 6.992 Å, 38.32 90.00 90.00°
Positions (direct):
1 Ca 0.000 0.000 0.000
2 Ca 0.500 0.321 0.321
3 Sc 0.000 0.702 0.702
4 Se 0.500 0.551 0.551

Output
Electronic total energy in eV per cell: -16.49
Total magnetic moment in μB per formula unit: 1.0
E_form (uncorrected) in eV/f.u.: -2.67

No. 2
A geometry-optimized CaScSe2 structure. Source: Alexandria, functional GGA-PBE.

Cell: 4.028 4.028 5.698 Å, 90.00 90.00 90.00°
Positions (direct):
1 Ca 0.000 0.000 0.000
2 Sc 0.500 0.500 0.500
3 Se 0.000 0.000 0.500
4 Se 0.500 0.500 0.000

Output
Energy above the most stable polymorph in this dataset in eV/atom: 0.042
Electronic total energy in eV per cell: -22.26
Total magnetic moment in μB per formula unit: 0.0
E_form (uncorrected) in eV/f.u.: -6.95

No. 3
A geometry-optimized CaSc4Se6 structure. Source: Alexandria, functional GGA-PBE.

Cell: 6.683 6.683 20.109 Å, 90.00 90.00 146.21°
Positions (direct):
1 Ca 0.158 0.842 0.750
2 Ca 0.842 0.158 0.250
3 Sc 0.092 0.908 0.128
4 Sc 0.092 0.908 0.372
5 Sc 0.361 0.639 0.039
6 Sc 0.361 0.639 0.461
7 Sc 0.639 0.361 0.539
8 Sc 0.639 0.361 0.961
9 Sc 0.908 0.092 0.628
10 Sc 0.908 0.092 0.872
11 Se 0.000 0.000 0.000
12 Se 0.000 0.000 0.500
13 Se 0.174 0.826 0.250
14 Se 0.271 0.729 0.586
15 Se 0.271 0.729 0.914
16 Se 0.454 0.546 0.160
17 Se 0.454 0.546 0.340
18 Se 0.546 0.454 0.660
19 Se 0.546 0.454 0.840
20 Se 0.729 0.271 0.086
21 Se 0.729 0.271 0.414
22 Se 0.826 0.174 0.750

Output
Electronic total energy in eV per cell: -134.53
Total magnetic moment in μB per formula unit: 0.0
E_form (uncorrected) in eV/f.u.: -19.03

No. 4
A geometry-optimized Ca3ScSe4 structure. Source: Alexandria, functional GGA-PBE.

Cell: 7.136 7.136 4.098 Å, 90.00 90.00 109.25°
Positions (direct):
1 Ca 0.000 0.000 0.000
2 Ca 0.000 0.500 0.500
3 Ca 0.500 0.000 0.500
4 Sc 0.500 0.500 0.000
5 Se 0.258 0.742 0.000
6 Se 0.264 0.264 0.500
7 Se 0.736 0.736 0.500
8 Se 0.742 0.258 0.000

Output
Electronic total energy in eV per cell: -41.34
Total magnetic moment in μB per formula unit: 0.0
E_form (uncorrected) in eV/f.u.: -15.06

No. 5
A geometry-optimized CaScSe4 structure. Source: Alexandria, functional GGA-PBE.

Cell: 5.877 5.877 5.877 Å, 60.00 60.00 60.00°
Positions (direct):
1 Ca 0.000 0.000 0.000
2 Sc 0.750 0.750 0.750
3 Se 0.375 0.375 0.375
4 Se 0.375 0.375 0.874
5 Se 0.375 0.874 0.375
6 Se 0.874 0.375 0.375

Output
Electronic total energy in eV per cell: -22.89
Total magnetic moment in μB per formula unit: 1.3
E_form (uncorrected) in eV/f.u.: -0.62

No. 6
A geometry-optimized CaSc5Se6 structure. Source: Alexandria, functional GGA-PBE.

Cell: 6.779 6.779 6.808 Å, 99.56 99.56 120.01°
Positions (direct):
1 Ca 0.000 0.000 0.000
2 Sc 0.160 0.840 0.500
3 Sc 0.334 0.666 0.000
4 Sc 0.500 0.500 0.500
5 Sc 0.666 0.334 0.000
6 Sc 0.840 0.160 0.500
7 Se 0.085 0.429 0.258
8 Se 0.259 0.259 0.749
9 Se 0.429 0.085 0.258
10 Se 0.571 0.915 0.742
11 Se 0.741 0.741 0.251
12 Se 0.915 0.571 0.742

Output
Electronic total energy in eV per cell: -74.29
Total magnetic moment in μB per formula unit: 0.0
E_form (uncorrected) in eV/f.u.: -19.73

No. 7
A geometry-optimized Ca2ScSe structure. Source: Alexandria, functional GGA-PBE.

Cell: 9.905 9.905 9.905 Å, 22.44 22.44 22.44°
Positions (direct):
1 Ca 0.230 0.230 0.230
2 Ca 0.770 0.770 0.770
3 Sc 0.000 0.000 0.000
4 Se 0.500 0.500 0.500

Output
Electronic total energy in eV per cell: -16.59
Total magnetic moment in μB per formula unit: 1.3
E_form (uncorrected) in eV/f.u.: -2.78

No. 8
A geometry-optimized Ca2ScSe structure. Source: Alexandria, functional GGA-PBE.

Cell: 5.398 5.398 5.398 Å, 60.00 60.00 60.00°
Positions (direct):
1 Ca 0.000 0.000 0.000
2 Ca 0.250 0.250 0.250
3 Sc 0.500 0.500 0.500
4 Se 0.750 0.750 0.750

Output
Electronic total energy in eV per cell: -14.15
Total magnetic moment in μB per formula unit: 0.0
E_form (uncorrected) in eV/f.u.: -0.33

No. 9
A geometry-optimized Ca2ScSe structure. Source: Alexandria, functional GGA-PBE.

Cell: 3.573 3.573 9.092 Å, 90.00 90.00 90.00°
Positions (direct):
1 Ca 0.000 0.000 0.000
2 Ca 0.500 0.500 0.340
3 Sc 0.000 0.000 0.627
4 Se 0.500 0.500 0.778

Output
Electronic total energy in eV per cell: -16.44
Total magnetic moment in μB per formula unit: 0.9
E_form (uncorrected) in eV/f.u.: -2.62

No. 10
A geometry-optimized CaScSe3 structure. Source: Alexandria, functional GGA-PBE.

Cell: 5.292 5.292 5.292 Å, 90.00 90.00 90.00°
Positions (direct):
1 Ca 0.000 0.000 0.000
2 Sc 0.500 0.500 0.500
3 Se 0.000 0.000 0.500
4 Se 0.000 0.500 0.000
5 Se 0.500 0.000 0.000

Output
Energy above the most stable polymorph in this dataset in eV/atom: 0.911
Electronic total energy in eV per cell: -20.47
Total magnetic moment in μB per formula unit: 0.0
E_form (uncorrected) in eV/f.u.: -1.68

No. 11
A geometry-optimized CaScSe2 structure. Source: Alexandria, functional GGA-PBE.

Cell: 8.909 8.909 8.909 Å, 25.87 25.87 25.87°
Positions (direct):
1 Ca 0.000 0.000 0.000
2 Sc 0.500 0.500 0.500
3 Se 0.109 0.109 0.109
4 Se 0.891 0.891 0.891

Output
Energy above the most stable polymorph in this dataset in eV/atom: 0.396
Electronic total energy in eV per cell: -20.84
Total magnetic moment in μB per formula unit: 0.0
E_form (uncorrected) in eV/f.u.: -5.54

No. 12
A geometry-optimized Ca2ScSe structure. Source: Alexandria, functional GGA-PBE.

Cell: 6.275 6.275 6.275 Å, 138.54 138.54 60.07°
Positions (direct):
1 Ca 0.250 0.750 0.500
2 Ca 0.750 0.250 0.500
3 Sc 0.000 0.000 0.000
4 Se 0.500 0.500 0.000

Output
Electronic total energy in eV per cell: -15.19
Total magnetic moment in μB per formula unit: 0.1
E_form (uncorrected) in eV/f.u.: -1.37

No. 13
A geometry-optimized CaScSe2 structure. Source: Alexandria, functional GGA-PBE.

Cell: 3.503 4.992 5.003 Å, 90.00 90.00 90.00°
Positions (direct):
1 Ca 0.000 0.000 0.000
2 Sc 0.000 0.500 0.500
3 Se 0.500 0.000 0.500
4 Se 0.500 0.500 0.000

Output
Energy above the most stable polymorph in this dataset in eV/atom: 0.387
Electronic total energy in eV per cell: -20.88
Total magnetic moment in μB per formula unit: 0.8
E_form (uncorrected) in eV/f.u.: -5.58

No. 14
A geometry-optimized CaScSe2 structure. Source: Alexandria, functional GGA-PBE.

Cell: 5.490 5.490 5.490 Å, 137.49 105.72 89.54°
Positions (direct):
1 Ca 0.000 0.000 0.000
2 Sc 0.500 0.500 0.000
3 Se 0.271 0.771 0.500
4 Se 0.729 0.229 0.500

Output
Energy above the most stable polymorph in this dataset in eV/atom: 0.386
Electronic total energy in eV per cell: -20.88
Total magnetic moment in μB per formula unit: 0.8
E_form (uncorrected) in eV/f.u.: -5.58

No. 15
A geometry-optimized CaSc6Se8 structure. Source: Alexandria, functional GGA-PBE.

Cell: 7.758 7.758 7.758 Å, 60.00 60.00 60.00°
Positions (direct):
1 Ca 0.000 0.000 0.000
2 Sc 0.000 0.000 0.500
3 Sc 0.000 0.500 0.000
4 Sc 0.000 0.500 0.500
5 Sc 0.500 0.000 0.000
6 Sc 0.500 0.000 0.500
7 Sc 0.500 0.500 0.000
8 Se 0.250 0.250 0.250
9 Se 0.261 0.261 0.739
10 Se 0.261 0.739 0.261
11 Se 0.261 0.739 0.739
12 Se 0.739 0.261 0.261
13 Se 0.739 0.261 0.739
14 Se 0.739 0.739 0.261
15 Se 0.750 0.750 0.750

Output
Electronic total energy in eV per cell: -93.17
Total magnetic moment in μB per formula unit: 0.0
E_form (uncorrected) in eV/f.u.: -25.30

No. 16
A geometry-optimized CaScSe2 structure. Source: Alexandria, functional GGA-PBE.

Cell: 4.979 4.979 4.979 Å, 60.00 60.00 60.00°
Positions (direct):
1 Ca 0.000 0.000 0.000
2 Sc 0.500 0.500 0.500
3 Se 0.250 0.250 0.250
4 Se 0.750 0.750 0.750

Output
Energy above the most stable polymorph in this dataset in eV/atom: 0.399
Electronic total energy in eV per cell: -20.83
Total magnetic moment in μB per formula unit: 0.9
E_form (uncorrected) in eV/f.u.: -5.53

No. 17
A geometry-optimized CaScSe2 structure. Source: Alexandria, functional GGA-PBE.

Cell: 8.511 8.511 8.511 Å, 29.26 29.26 29.26°
Positions (direct):
1 Ca 0.000 0.000 0.000
2 Sc 0.500 0.500 0.500
3 Se 0.399 0.399 0.399
4 Se 0.601 0.601 0.601

Output
Energy above the most stable polymorph in this dataset in eV/atom: 0.603
Electronic total energy in eV per cell: -20.01
Total magnetic moment in μB per formula unit: 0.0
E_form (uncorrected) in eV/f.u.: -4.71

No. 18
A geometry-optimized Ca2ScSe structure. Source: Alexandria, functional GGA-PBE.

Cell: 3.586 3.586 8.962 Å, 90.00 90.00 90.00°
Positions (direct):
1 Ca 0.000 0.000 0.195
2 Ca 0.000 0.000 0.805
3 Sc 0.500 0.500 0.500
4 Se 0.500 0.500 0.000

Output
Electronic total energy in eV per cell: -16.55
Total magnetic moment in μB per formula unit: 0.4
E_form (uncorrected) in eV/f.u.: -2.73

No. 19
A geometry-optimized CaScSe2 structure. Source: Alexandria, functional GGA-PBE.

Cell: 5.037 5.037 5.037 Å, 60.00 60.00 60.00°
Positions (direct):
1 Ca 0.000 0.000 0.000
2 Sc 0.750 0.750 0.750
3 Se 0.250 0.250 0.250
4 Se 0.500 0.500 0.500

Output
Energy above the most stable polymorph in this dataset in eV/atom: 1.304
Electronic total energy in eV per cell: -17.21
Total magnetic moment in μB per formula unit: 0.9
E_form (uncorrected) in eV/f.u.: -1.91

No. 20
A geometry-optimized Ca2ScSe structure. Source: Alexandria, functional GGA-PBE.

Cell: 6.626 6.626 6.626 Å, 148.04 131.30 59.44°
Positions (direct):
1 Ca 0.000 0.000 0.000
2 Ca 0.693 0.193 0.500
3 Sc 0.303 0.803 0.500
4 Se 0.482 0.482 0.000

Output
Electronic total energy in eV per cell: -16.41
Total magnetic moment in μB per formula unit: 0.6
E_form (uncorrected) in eV/f.u.: -2.59